# 1
Entry from Alexandria via LeMat-Bulk: a relaxed structure of HgRu (PBE).

The space group is I-43m (No. 217) and the conventional cell measures 8.258, 8.258 and 8.258 Å, with angles of 90.00, 90.00 and 90.00 degrees. The distinct sites, in fractional coordinates, are Hg at (0.208, 0.208, 0.792) and Ru at (0.106, 0.106, 0.106).

For the calculated formation energy, the calculation gives 1.209 eV/atom.

# 2
Entry from Alexandria via LeMat-Bulk: a relaxed structure of YOs2Au (PBE).

The space group is I4/mmm (No. 139) and the conventional cell measures 4.017, 4.017 and 8.893 Å, with angles of 90.00, 90.00 and 90.00 degrees. The distinct sites, in fractional coordinates, are Y at (0.000, 0.000, 0.000), Os at (0.000, 0.500, 0.250) and Au at (0.000, 0.000, 0.500).

For the calculated formation energy, the calculation gives 0.392 eV/atom. The calculation puts the energy above the most stable polymorph in this dataset at 323 meV/atom.

Table of E_tot (eV per atom), in record order: -3.58 -7.66